CsPPdO | PBE-GGA | relaxed

```
CsPPdO
1.0
5.2478 0.0000 0.0000
0.0000 3.8694 0.0000
0.0000 0.0000 9.9949
Cs P Pd O
2 2 2 2
Cartesian
2.6239 0.0000 7.0443 Cs
2.6239 1.9347 2.0468 Cs
0.0000 0.0000 3.9314 P
0.0000 1.9347 8.9289 P
0.0000 0.0000 0.0647 Pd
0.0000 1.9347 5.0621 Pd
0.0000 0.0000 2.3561 O
0.0000 1.9347 7.3536 O
```

Computed properties:
Raw total energy = -20.03 eV/f.u.
Space group = Amm2 (38)
Relative energy among the computed polymorphs = 0.095 eV/atom
Formation energy (no corrections) = -0.9027 eV/atom

***

Cs2PmP2O6 | PBE-GGA | relaxed

```
Cs2PmP2O6
1.0
-3.7341 -4.3083 -1.8385
2.1499 -0.0740 5.5662
-5.2553 4.7946 -0.5614
Cs Pm P O
2 1 2 6
Cartesian
-2.5628 -2.4069 1.0861 Cs
-4.2769 2.8192 2.0801 Cs
-4.4947 0.2431 -1.2000 Pm
-5.7504 -0.2528 2.5123 P
-1.0892 0.6650 0.6538 P
-5.1951 -0.0966 1.0186 O
-2.2762 0.3383 -0.3504 O
-2.4289 2.5367 4.5676 O
-4.5635 0.0739 3.5166 O
-4.4107 -2.1244 -1.4014 O
-1.6445 0.5089 2.1476 O
```

Computed properties:
Raw total energy = -72.01 eV/f.u.
Space group = C2/m (12)
Formation energy (no corrections) = -2.2708 eV/atom

***

Cs3PmP2O8 | PBE-GGA | relaxed

```
Cs3PmP2O8
1.0
5.9064 0.0000 0.0000
-2.9532 5.1151 0.0000
0.0000 0.0000 8.7524
Cs Pm P O
3 1 2 8
Cartesian
0.0000 3.4100 6.7483 Cs
2.9532 1.7050 2.0041 Cs
0.0000 0.0000 0.0000 Cs
0.0000 0.0000 4.3762 Pm
0.0000 3.4100 2.5087 P
2.9532 1.7050 6.2437 P
0.0000 3.4100 0.9695 O
2.9532 1.7050 7.7829 O
-1.2781 4.1480 3.0399 O
4.2313 0.9671 5.7125 O
0.0000 1.9342 3.0399 O
2.9532 3.1809 5.7125 O
1.2781 4.1480 3.0399 O
1.6751 0.9671 5.7125 O
```

Computed properties:
Raw total energy = -93.30 eV/f.u.
Space group = P-3m1 (164)
Formation energy (no corrections) = -2.5358 eV/atom

***

CsPrP4O12 | PBE-GGA | relaxed

```
CsPrP4O12
1.0
9.3511 0.0000 0.0000
0.0000 7.2604 -0.0005
0.0000 1.4732 8.8152
Cs Pr P O
2 2 8 24
Cartesian
3.0935 2.6508 1.5222 Cs
7.7691 6.0828 7.2925 Cs
4.6401 2.4822 6.1524 Pr
9.3157 6.2514 2.6623 Pr
8.1350 3.3777 4.7867 P
3.4594 5.3559 4.0280 P
5.6609 7.3675 3.3099 P
0.9853 1.3661 5.5048 P
3.9519 6.1651 6.8161 P
8.6274 2.5685 1.9986 P
2.0652 8.0156 8.1774 P
6.7407 0.7180 0.6373 P
2.3248 1.9799 5.2401 O
7.0003 6.7537 3.5746 O
4.5111 6.2471 3.1919 O
9.1867 2.4865 5.6228 O
3.1702 6.1677 5.3952 O
7.8458 2.5659 3.4195 O
4.1247 4.0486 4.3328 O
8.8002 4.6850 4.4819 O
4.3547 4.7675 7.1981 O
9.0302 3.9661 1.6166 O
0.9059 8.1015 7.0482 O
5.5815 0.6321 1.7665 O
7.7277 6.8591 0.8068 O
3.0521 1.8745 8.0079 O
1.3837 6.3420 0.6671 O
6.0592 2.3916 8.1476 O
5.1543 1.2267 4.1629 O
0.4787 7.5069 4.6518 O
7.4253 2.1638 0.9943 O
2.7497 6.5698 7.8204 O
2.1928 5.3483 3.2334 O
6.8684 3.3853 5.5813 O
0.3103 1.4806 2.0302 O
4.9858 7.2530 6.7845 O
```

Computed properties:
Raw total energy = -131.01 eV/f.u.
Space group = P2_1 (4)
Relative energy among the computed polymorphs = 0.000 eV/atom
Formation energy (no corrections) = -2.4578 eV/atom

***

CsPrP4O12 | PBE-GGA | relaxed

```
CsPrP4O12
1.0
-8.9450 -2.1065 0.6879
2.0370 -9.8482 -3.6691
0.9771 -0.4431 11.3489
Cs Pr P O
4 4 16 48
Cartesian
-3.9048 -4.4819 5.3589 Cs
0.7380 -2.4376 10.2645 Cs
-2.0260 -7.9159 3.0088 Cs
-6.6689 -9.9602 -1.8968 Cs
-5.2931 -6.5192 0.7468 Pr
-1.7025 -0.6288 3.7469 Pr
-4.2284 -11.7690 4.6207 Pr
-0.6378 -5.8786 7.6209 Pr
-1.8708 -8.9591 -2.4664 P
1.9314 -7.7755 5.3923 P
-3.4558 -3.5436 1.8508 P
-3.3248 -9.7783 0.0135 P
-4.1049 -7.0980 8.2841 P
0.7352 -6.6600 0.6290 P
-6.9442 -2.2661 4.5466 P
-7.8623 -4.6223 2.9754 P
-2.6061 -2.6195 8.3542 P
-1.8260 -5.2998 0.0836 P
-6.6661 -5.7378 7.7387 P
0.2702 -3.6276 4.8372 P
-2.4751 -8.8542 6.5169 P
-6.2011 -8.7702 3.5304 P
-4.0601 -3.4386 10.8341 P
1.0133 -10.1317 3.8211 P
-1.5310 -9.8039 7.4433 O
-4.2815 -8.8100 0.6392 O
0.4023 -0.7455 7.5039 O
-6.7957 -3.7077 3.8012 O
-4.3999 -2.5939 0.9243 O
1.2977 -4.3999 7.8874 O
-3.7045 -8.4802 7.5193 O
-3.1342 -9.3967 -1.5402 O
-0.7230 -7.9135 8.9106 O
-3.0508 -6.0519 8.0796 O
-5.5642 -7.4857 3.0833 O
-0.1715 -1.7163 2.0461 O
-6.1591 -4.4248 8.2518 O
-4.0806 -11.2071 -0.1945 O
-1.7557 -7.5899 6.1237 O
-2.7967 -3.0011 9.9079 O
-0.3667 -4.9120 5.2844 O
-1.9947 -10.0026 0.6723 O
-0.6727 -9.8115 -2.1603 O
-1.6494 -3.5878 7.7285 O
-5.2079 -4.4842 -0.5430 O
-7.2292 -5.5336 6.2430 O
-6.3331 -11.6523 0.8638 O
-1.8503 -1.1907 8.5622 O
1.2983 -6.8642 2.1247 O
-2.8801 -6.3458 0.2880 O
-5.3936 -10.0285 3.4271 O
0.2282 -7.9730 0.1159 O
-3.0029 -9.7130 5.4102 O
-2.9280 -2.6848 2.9575 O
1.2439 -7.2029 6.5925 O
-1.3811 -4.9009 -1.2900 O
-7.2286 -7.9979 0.4803 O
-6.7344 -8.6442 5.0597 O
0.8648 -8.6901 4.5664 O
-5.2582 -2.5863 10.5280 O
-5.7594 -10.6814 6.3216 O
-7.1748 -5.1949 1.7752 O
-0.5373 -2.3693 4.9406 O
0.2438 -10.0188 2.5408 O
-2.2264 -3.9175 0.8484 O
-6.1747 -2.3790 5.8268 O
-5.3938 -6.6889 7.3748 O
-4.1752 -4.8078 2.2440 O
-4.5498 -7.4969 9.6577 O
-3.9361 -2.3951 7.6954 O
-0.5370 -5.7088 0.9929 O
0.8035 -3.7536 3.3080 O
```

Computed properties:
Raw total energy = -130.89 eV/f.u.
Space group = P2_1/c (14)
Relative energy among the computed polymorphs = 0.007 eV/atom
Formation energy (no corrections) = -2.4511 eV/atom

***

CsP2PtO8 | PBE-GGA | relaxed

```
CsP2PtO8
1.0
4.8797 0.0000 0.0000
2.4398 4.2259 0.0000
2.4398 1.4086 9.2637
Cs P Pt O
1 2 1 8
Cartesian
4.8797 2.8173 4.6319 Cs
2.4398 1.4086 1.6883 P
7.3195 4.2259 7.5755 P
0.0000 0.0000 0.0000 Pt
2.4398 1.4086 3.1967 O
3.9200 1.3081 1.1667 O
7.3195 4.2259 6.0670 O
6.6665 2.7407 1.1667 O
3.0928 2.8938 8.0970 O
4.0525 4.4030 1.1667 O
5.7068 1.2316 8.0970 O
5.8394 4.3264 8.0970 O
```

Computed properties:
Raw total energy = -77.07 eV/f.u.
Space group = R-3 (148)
Formation energy (no corrections) = -1.6409 eV/atom

***

CsPPtO2 | PBE-GGA | relaxed

```
CsPPtO2
1.0
4.0386 0.0000 0.0000
0.0000 4.0386 0.0000
0.0000 0.0000 8.0827
Cs P O Pt
1 1 2 1
Cartesian
0.0000 0.0000 0.0000 Cs
0.0000 0.0000 4.0414 P
0.0000 2.0193 0.0000 O
2.0193 0.0000 0.0000 O
2.0193 2.0193 4.0414 Pt
```

Computed properties:
Raw total energy = -16.14 eV/f.u.
Space group = P4/mmm (123)
Formation energy (no corrections) = 1.2152 eV/atom

***

CsP2PtO | PBE-GGA | relaxed

```
CsP2PtO
1.0
5.3782 0.0000 0.0000
0.0000 5.3782 0.0000
0.0000 0.0000 4.0859
Cs P O Pt
1 2 1 1
Cartesian
0.0000 0.0000 0.0000 Cs
0.0000 2.6891 0.0000 P
2.6891 0.0000 0.0000 P
0.0000 0.0000 2.0429 O
2.6891 2.6891 2.0429 Pt
```

Computed properties:
Raw total energy = -13.14 eV/f.u.
Space group = P4/mmm (123)
Relative energy among the computed polymorphs = 1.648 eV/atom
Formation energy (no corrections) = 1.9073 eV/atom